Record 1
A PBEsol-optimized structure of KLiSe2N, computed with SCAN.

The formation energy from raw total energies comes out at 121 kJ/mol of formula units.

It has space group P4/mmm (No. 123), with a = 4.705 Å, b = 4.705 Å, c = 4.836 Å, α = 90.00°, β = 90.00° and γ = 90.00°. The asymmetric unit holds K at (0.000, 0.000, 0.000), Li at (0.500, 0.500, 0.500), Se at (0.000, 0.500, 0.500) and N at (0.500, 0.500, 0.000).

---

Record 2
A PBEsol-optimized structure of KNaLi3, computed with SCAN.

The calculation puts the energy above the lowest structure with this stoichiometry at 271 meV per atom. The calculation puts the formation energy at 538 meV/atom.

It has space group Pm-3m (No. 221), with a = 5.888 Å, b = 5.888 Å, c = 5.888 Å, α = 90.00°, β = 90.00° and γ = 90.00°. The asymmetric unit holds K at (0.000, 0.000, 0.000), Na at (0.500, 0.500, 0.500) and Li at (0.000, 0.000, 0.500).

---

Record 3
A PBEsol-optimized structure of K2Na2Li, computed with SCAN.

The calculation puts the formation energy at 89 meV/atom.

It has space group P4/mbm (No. 127), with a = 8.643 Å, b = 8.643 Å, c = 6.255 Å, α = 90.00°, β = 90.00° and γ = 90.00°. The asymmetric unit holds K at (0.179, 0.321, 0.000), Na at (0.142, 0.642, 0.500) and Li at (0.000, 0.000, 0.500).